Entry from Alexandria: a relaxed BaSrBr2 crystal (GGA-PBE).

formation energy from raw total energies: -134.2 kJ/mol of atoms
polymorph energy (0 for the lowest one): 110 meV per atom
raw total energy: -3.128 eV per atom

Cell: 4.488 4.488 10.058 Å, 90.00 90.00 124.46°
Fractional positions:
Sr 0.500 0.500 0.250
Ba 0.500 0.500 0.750
Br 0.000 0.000 0.015
Br 0.000 0.000 0.485

---

Entry from Alexandria: a relaxed LiPm2GeS5 crystal (GGA-PBE).

formation energy from raw total energies: -136.4 kJ/mol of atoms
raw total energy: -5.488 eV per atom

Cell: 4.044 8.591 11.168 Å, 90.00 90.00 103.61°
Fractional positions:
Li 0.785 0.570 0.520
Li 0.215 0.430 0.020
Pm 0.867 0.733 0.805
Pm 0.121 0.243 0.682
Pm 0.133 0.267 0.305
Pm 0.879 0.757 0.182
Ge 0.566 0.131 0.961
Ge 0.434 0.869 0.461
S 0.360 0.719 0.000
S 0.684 0.369 0.852
S 0.500 0.999 0.777
S 0.292 0.584 0.669
S 0.954 0.909 0.558
S 0.640 0.281 0.500
S 0.316 0.631 0.352
S 0.500 0.001 0.277
S 0.708 0.416 0.169
S 0.046 0.091 0.058

---

Entry from Alexandria: a relaxed CdHg crystal (GGA-PBE).

raw total energy: -0.546 eV per atom
E_form: 0.062 eV/atom

Cell: 4.358 4.358 6.628 Å, 90.00 90.00 120.00°
Fractional positions:
Hg 0.000 0.000 0.000
Hg 0.000 0.000 0.500
Cd 0.333 0.667 0.250
Cd 0.667 0.333 0.750

---

Entry from Alexandria: a relaxed TlCuSe2 crystal (GGA-PBE).

formation energy from raw total energies: -2.0 kJ/mol of atoms
raw total energy: -3.378 eV per atom

Cell: 7.865 7.865 7.865 Å, 31.95 31.95 31.95°
Fractional positions:
Tl 0.500 0.500 0.500
Cu 0.000 0.000 0.000
Se 0.899 0.899 0.899
Se 0.101 0.101 0.101

---

Entry from Alexandria: a relaxed ReW crystal (GGA-PBE).

polymorph energy (0 for the lowest one): 25 meV per atom
raw total energy: -12.583 eV per atom
E_form: 0.118 eV/atom

Cell: 4.458 4.458 6.291 Å, 90.00 90.00 90.00°
Fractional positions:
Re 0.000 0.000 0.000
Re 0.500 0.500 0.000
Re 0.000 0.500 0.736
Re 0.500 0.000 0.264
W 0.000 0.500 0.245
W 0.500 0.000 0.755
W 0.000 0.000 0.500
W 0.500 0.500 0.500

---

Entry from Alexandria: a relaxed AcYTeSe crystal (GGA-PBE).

formation energy from raw total energies: -152.8 kJ/mol of atoms
raw total energy: -5.884 eV per atom

Cell: 4.246 4.248 8.198 Å, 90.00 104.99 120.01°
Fractional positions:
Ac 0.117 0.957 0.089
Y 0.488 0.142 0.646
Te 0.983 0.390 0.388
Se 0.289 0.542 0.847